one) A plane-wave DFT calculation with GGA-PBE was carried out for RbTcIr after structural relaxation.

a = 6.654 Å, b = 6.654 Å, c = 6.654 Å
α = 90.00°, β = 90.00°, γ = 90.00°
Space group F-43m (No. 216)
Asymmetric unit:
1 Rb 0.000 0.000 0.000 x4
2 Tc 0.250 0.250 0.250 x4
3 Ir 0.250 0.250 0.750 x4

=====

two) A plane-wave DFT calculation with GGA-PBE was carried out for RbTcIr after structural relaxation.

a = 6.389 Å, b = 6.389 Å, c = 6.389 Å
α = 90.00°, β = 90.00°, γ = 90.00°
Space group F-43m (No. 216)
Asymmetric unit:
1 Rb 0.000 0.000 0.000 x4
2 Tc 0.250 0.250 0.750 x4
3 Ir 0.000 0.000 0.500 x4

=====

two) takes first place; second place is 106.7 kJ/mol of atoms up.

=====

one) A plane-wave DFT calculation with GGA-PBE was carried out for RbTeIr after structural relaxation.

a = 7.552 Å, b = 7.552 Å, c = 7.552 Å
α = 90.00°, β = 90.00°, γ = 90.00°
Space group F-43m (No. 216)
Asymmetric unit:
1 Rb 0.000 0.000 0.000 x4
2 Te 0.250 0.250 0.250 x4
3 Ir 0.250 0.250 0.750 x4

=====

two) A plane-wave DFT calculation with GGA-PBE was carried out for RbTeIr after structural relaxation.

a = 6.961 Å, b = 6.961 Å, c = 6.961 Å
α = 90.00°, β = 90.00°, γ = 90.00°
Space group F-43m (No. 216)
Asymmetric unit:
1 Rb 0.000 0.000 0.000 x4
2 Te 0.000 0.000 0.500 x4
3 Ir 0.250 0.250 0.250 x4

=====

two) takes first place; second place is 94.7 kJ/mol of atoms up.

=====

one) A plane-wave DFT calculation with GGA-PBE was carried out for RbYIr after structural relaxation.

a = 7.066 Å, b = 7.066 Å, c = 7.066 Å
α = 90.00°, β = 90.00°, γ = 90.00°
Space group F-43m (No. 216)
Asymmetric unit:
1 Rb 0.000 0.000 0.000 x4
2 Y 0.000 0.000 0.500 x4
3 Ir 0.250 0.250 0.250 x4

=====

two) A plane-wave DFT calculation with GGA-PBE was carried out for RbYIr after structural relaxation.

a = 6.891 Å, b = 6.891 Å, c = 6.891 Å
α = 90.00°, β = 90.00°, γ = 90.00°
Space group F-43m (No. 216)
Asymmetric unit:
1 Rb 0.000 0.000 0.000 x4
2 Y 0.250 0.250 0.250 x4
3 Ir 0.250 0.250 0.750 x4

=====

one) takes first place; second place is 89.2 kJ/mol of atoms up.

=====

one) A plane-wave DFT calculation with GGA-PBE was carried out for RbZnIr after structural relaxation.

a = 6.730 Å, b = 6.730 Å, c = 6.730 Å
α = 90.00°, β = 90.00°, γ = 90.00°
Space group F-43m (No. 216)
Asymmetric unit:
1 Rb 0.000 0.000 0.000 x4
2 Zn 0.250 0.250 0.750 x4
3 Ir 0.000 0.000 0.500 x4

=====

two) A plane-wave DFT calculation with GGA-PBE was carried out for RbZnIr after structural relaxation.

a = 6.676 Å, b = 6.676 Å, c = 6.676 Å
α = 90.00°, β = 90.00°, γ = 90.00°
Space group F-43m (No. 216)
Asymmetric unit:
1 Rb 0.000 0.000 0.000 x4
2 Zn 0.000 0.000 0.500 x4
3 Ir 0.250 0.250 0.250 x4

=====

three) A plane-wave DFT calculation with GGA-PBE was carried out for RbZnIr after structural relaxation.

a = 7.596 Å, b = 7.596 Å, c = 7.596 Å
α = 90.00°, β = 90.00°, γ = 90.00°
Space group F-43m (No. 216)
Asymmetric unit:
1 Rb 0.000 0.000 0.000 x4
2 Zn 0.250 0.250 0.250 x4
3 Ir 0.250 0.250 0.750 x4

=====

two) takes first place; second place is 8.8 kJ/mol of atoms up.

=====

one) A plane-wave DFT calculation with GGA-PBE was carried out for ReIr2 after structural relaxation.

a = 7.184 Å, b = 7.184 Å, c = 7.184 Å
α = 90.00°, β = 90.00°, γ = 90.00°
Space group Fd-3m (No. 227, origin choice 2)
Asymmetric unit:
1 Re 0.125 0.125 0.125 x8
2 Ir 0.000 0.000 0.500 x16

=====

two) A plane-wave DFT calculation with GGA-PBE was carried out for ReIr2 after structural relaxation.

a = 10.725 Å, b = 10.725 Å, c = 10.725 Å
α = 90.00°, β = 90.00°, γ = 90.00°
Space group Fd-3m (No. 227, origin choice 2)
Asymmetric unit:
1 Re 0.125 0.125 0.125 x8
2 Ir 0.000 0.000 0.000 x16

=====

one) takes first place; second place is 252.2 kJ/mol of atoms up.

=====

one) A plane-wave DFT calculation with GGA-PBE was carried out for ReIr after structural relaxation.

a = 5.581 Å, b = 5.581 Å, c = 5.581 Å
α = 90.00°, β = 90.00°, γ = 90.00°
Space group F-43m (No. 216)
Asymmetric unit:
1 Re 0.000 0.000 0.000 x4
2 Ir 0.250 0.250 0.250 x4

=====

two) A plane-wave DFT calculation with GGA-PBE was carried out for ReIr after structural relaxation.

a = 4.390 Å, b = 2.738 Å, c = 4.833 Å
α = 90.00°, β = 90.00°, γ = 90.00°
Space group Pmma (No. 51)
Asymmetric unit:
1 Re 0.250 0.000 0.163 x2
2 Ir 0.250 0.500 0.667 x2

=====

three) A plane-wave DFT calculation with GGA-PBE was carried out for ReIr after structural relaxation.

a = 2.7646 Å, b = 2.7646 Å, c = 4.4024 Å
α = 90.00°, β = 90.00°, γ = 120.00°
Space group P-6m2 (No. 187)
Asymmetric unit:
1 Re 0.0000 0.0000 0.0000 x1
2 Ir 0.3333 0.6667 0.5000 x1

=====

two) takes first place; second place is 8.6 kJ/mol of atoms up.

=====

one) A plane-wave DFT calculation with GGA-PBE was carried out for Ir2S after structural relaxation.

a = 5.640 Å, b = 5.640 Å, c = 5.640 Å
α = 90.00°, β = 90.00°, γ = 90.00°
Space group Fm-3m (No. 225)
Asymmetric unit:
1 Ir 0.250 0.250 0.250 x8
2 S 0.000 0.000 0.000 x4

=====

two) A plane-wave DFT calculation with GGA-PBE was carried out for Ir2S after structural relaxation.

a = 5.205 Å, b = 5.205 Å, c = 3.620 Å
α = 90.00°, β = 90.00°, γ = 90.00°
Space group P4_2/mnm (No. 136)
Asymmetric unit:
1 Ir 0.193 0.193 0.000 x4
2 S 0.000 0.000 0.500 x2

=====

one) takes first place; second place is 29.7 kJ/mol of atoms up.

=====

one) A plane-wave DFT calculation with GGA-PBE was carried out for Ir2S after structural relaxation.

a = 9.982 Å, b = 9.982 Å, c = 9.982 Å
α = 90.00°, β = 90.00°, γ = 90.00°
Space group Fd-3m (No. 227, origin choice 2)
Asymmetric unit:
1 Ir 0.000 0.000 0.000 x16
2 S 0.125 0.125 0.125 x8

=====

two) A plane-wave DFT calculation with GGA-PBE was carried out for Ir2S after structural relaxation.

a = 7.373 Å, b = 7.373 Å, c = 7.373 Å
α = 90.00°, β = 90.00°, γ = 90.00°
Space group Fd-3m (No. 227, origin choice 2)
Asymmetric unit:
1 Ir 0.000 0.000 0.000 x16
2 S 0.125 0.125 0.625 x8

=====

two) takes first place; second place is 54.9 kJ/mol of atoms up.

=====

one) A plane-wave DFT calculation with GGA-PBE was carried out for SbIr15 after structural relaxation.

a = 5.446 Å, b = 2.752 Å, c = 41.463 Å
α = 90.00°, β = 90.02°, γ = 90.00°
Space group P2_1/m (No. 11)
Asymmetric unit:
1 Sb 0.123 0.250 0.358 x2
2 Ir 0.122 0.250 0.698 x2
3 Ir 0.125 0.250 0.070 x2
4 Ir 0.125 0.250 0.163 x2
5 Ir 0.125 0.250 0.256 x2
6 Ir 0.125 0.250 0.791 x2
7 Ir 0.125 0.250 0.884 x2
8 Ir 0.125 0.250 0.977 x2
9 Ir 0.374 0.750 0.302 x2
10 Ir 0.374 0.750 0.744 x2
11 Ir 0.375 0.750 0.023 x2
12 Ir 0.375 0.750 0.116 x2
13 Ir 0.375 0.750 0.837 x2
14 Ir 0.375 0.750 0.930 x2
15 Ir 0.376 0.750 0.209 x2
16 Ir 0.377 0.750 0.653 x2

=====

two) A plane-wave DFT calculation with GGA-PBE was carried out for SbIr15 after structural relaxation.

a = 3.861 Å, b = 3.861 Å, c = 43.922 Å
α = 90.00°, β = 90.00°, γ = 90.00°
Space group Pmma (No. 51)
Asymmetric unit:
1 Sb 0.250 0.000 0.160 x2
2 Ir 0.250 0.000 0.258 x2
3 Ir 0.250 0.000 0.346 x2
4 Ir 0.250 0.000 0.434 x2
5 Ir 0.250 0.000 0.522 x2
6 Ir 0.250 0.000 0.610 x2
7 Ir 0.250 0.000 0.698 x2
8 Ir 0.250 0.000 0.785 x2
9 Ir 0.250 0.500 0.215 x2
10 Ir 0.250 0.500 0.302 x2
11 Ir 0.250 0.500 0.390 x2
12 Ir 0.250 0.500 0.478 x2
13 Ir 0.250 0.500 0.566 x2
14 Ir 0.250 0.500 0.654 x2
15 Ir 0.250 0.500 0.742 x2
16 Ir 0.250 0.500 0.829 x2

=====

three) A plane-wave DFT calculation with GGA-PBE was carried out for SbIr15 after structural relaxation.

a = 5.443 Å, b = 3.863 Å, c = 32.972 Å
α = 90.00°, β = 90.16°, γ = 90.00°
Space group P2_1/m (No. 11)
Asymmetric unit:
1 Sb 0.111 0.250 0.318 x2
2 Ir 0.120 0.250 0.729 x2
3 Ir 0.123 0.250 0.814 x2
4 Ir 0.124 0.250 0.896 x2
5 Ir 0.125 0.250 0.979 x2
6 Ir 0.126 0.250 0.062 x2
7 Ir 0.128 0.250 0.145 x2
8 Ir 0.128 0.250 0.228 x2
9 Ir 0.372 0.750 0.773 x2
10 Ir 0.373 0.750 0.855 x2
11 Ir 0.374 0.750 0.938 x2
12 Ir 0.375 0.750 0.021 x2
13 Ir 0.377 0.750 0.103 x2
14 Ir 0.377 0.750 0.186 x2
15 Ir 0.389 0.750 0.268 x2
16 Ir 0.390 0.750 0.692 x2

=====

four) A plane-wave DFT calculation with GGA-PBE was carried out for SbIr15 after structural relaxation.

a = 7.689 Å, b = 2.743 Å, c = 35.247 Å
α = 90.00°, β = 90.00°, γ = 90.00°
Space group P2_1/m (No. 11)
Asymmetric unit:
1 Sb 0.125 0.250 0.296 x2
2 Ir 0.125 0.250 0.058 x2
3 Ir 0.125 0.250 0.136 x2
4 Ir 0.125 0.250 0.213 x2
5 Ir 0.125 0.250 0.826 x2
6 Ir 0.125 0.250 0.981 x2
7 Ir 0.126 0.250 0.903 x2
8 Ir 0.127 0.250 0.747 x2
9 Ir 0.375 0.750 0.020 x2
10 Ir 0.375 0.750 0.174 x2
11 Ir 0.375 0.750 0.713 x2
12 Ir 0.375 0.750 0.789 x2
13 Ir 0.375 0.750 0.865 x2
14 Ir 0.375 0.750 0.942 x2
15 Ir 0.376 0.750 0.096 x2
16 Ir 0.377 0.750 0.253 x2

=====

two) takes first place; second place is 3.2 kJ/mol of atoms up.